1.
! Li7In3 (GGA-PBE, optimized geometry); values from VASP
&SYSTEM
  ibrav = 0, nat = 10, ntyp = 2
/
ATOMIC_SPECIES
Li 6.94 Li.upf
In 114.82 In.upf
CELL_PARAMETERS angstrom
7.0264 -2.3633 0.0000
7.0264 2.3633 0.0000
-1.5472 0.0000 5.5600
ATOMIC_POSITIONS angstrom
Li 0.0000 0.0000 0.0000
Li 1.5563 0.0000 4.4554
Li 5.3809 0.0000 0.5948
Li 4.7168 0.0000 3.3284
Li 7.7889 0.0000 2.2316
Li 7.1248 0.0000 4.9652
Li 10.9494 0.0000 1.1045
In -0.7736 0.0000 2.7800
In 2.3512 0.0000 1.6610
In 10.1544 0.0000 3.8989
! * space-group type: C2/m

---

2.
! Li4In3 (GGA-PBE, optimized geometry); values from VASP
&SYSTEM
  ibrav = 0, nat = 7, ntyp = 2
/
ATOMIC_SPECIES
Li 6.94 Li.upf
In 114.82 In.upf
CELL_PARAMETERS angstrom
2.4280 1.4018 7.0242
-2.4280 1.4018 7.0242
0.0000 -2.8036 7.0242
ATOMIC_POSITIONS angstrom
Li 0.0000 0.0000 1.7358
Li 0.0000 0.0000 7.6932
Li 0.0000 0.0000 13.3794
Li 0.0000 0.0000 19.3368
In 0.0000 0.0000 4.9143
In 0.0000 0.0000 10.5363
In 0.0000 0.0000 16.1583
! * polymorph energy (0 for the lowest one): 0.068 eV/atom
! * space-group type: R-3m

---

no.,ΔH_f (0 K) (eV/atom),total magnetic moment (μB per cell)
1,-0.25,0.000
2,-0.20,0.000